(1)
The following is a DFT calculation (PBE-GGA) of a relaxed MgCrOs2Cl crystal.

Cell: 4.4019 4.4843 4.4019 Å, 90.00 90.00 90.00°
Last column: nearest neighbours and their distance in Å.
Fractional coordinates of all 5 atoms:
Cr  0.5000  0.5000  0.5000  4 Mg 3.11, 8 Os 3.14
Mg  0.0000  0.5000  0.0000  2 Cl 2.24
Os  0.0000  0.0000  0.5000  2 Cl 2.20
Os  0.5000  0.0000  0.0000  2 Cl 2.20
Cl  0.0000  0.0000  0.0000  4 Os 2.20, 2 Mg 2.24

Results
E_form (uncorrected), kJ/mol of formula units: 692
V, A^3/atom: 17.4
Space group: P4/mmm
Magnetization, μB/cell: 3.7



(2)
The following is a DFT calculation (PBE-GGA) of a relaxed MgCrPCl2 crystal.

Cell: 4.6762 4.6762 4.9312 Å, 90.00 90.00 90.00°
Last column: nearest neighbours and their distance in Å.
Fractional coordinates of all 5 atoms:
Cr  0.0000  0.0000  0.0000  4 Cl 2.34, 2 P 2.47
Mg  0.5000  0.5000  0.5000  4 P 3.31, 8 Cl 3.40
P  0.0000  0.0000  0.5000  2 Cr 2.47
Cl  0.0000  0.5000  0.0000  2 Cr 2.34
Cl  0.5000  0.0000  0.0000  2 Cr 2.34

Results
E_form (uncorrected), kJ/mol of formula units: -146
V, A^3/atom: 21.6
Space group: P4/mmm
Magnetization, μB/cell: 2.9
Distance to the lowest polymorph of the same formula, meV/atom: 0



(3)
The following is a DFT calculation (PBE-GGA) of a relaxed MgCrP2Cl crystal.

Cell: 4.7869 4.7869 4.6925 Å, 90.00 90.00 90.00°
Last column: nearest neighbours and their distance in Å.
Fractional coordinates of all 5 atoms:
Cr  0.5000  0.5000  0.5000  8 P 3.35, 4 Cl 3.38
Mg  0.0000  0.0000  0.0000  2 Cl 2.35, 4 P 2.39
P  0.0000  0.5000  0.0000  2 Mg 2.39
P  0.5000  0.0000  0.0000  2 Mg 2.39
Cl  0.0000  0.0000  0.5000  2 Mg 2.35

Results
E_form (uncorrected), kJ/mol of formula units: 296
V, A^3/atom: 21.5
Space group: P4/mmm
Magnetization, μB/cell: 3.4
Distance to the lowest polymorph of the same formula, meV/atom: 581



(4)
The following is a DFT calculation (PBE-GGA) of a relaxed MgCrP2Cl crystal.

Cell: 4.3736 4.3736 5.1577 Å, 90.00 90.00 90.00°
Last column: nearest neighbours and their distance in Å.
Fractional coordinates of all 5 atoms:
Cr  0.0000  0.0000  0.0000  4 P 2.19
Mg  0.5000  0.5000  0.5000  4 Cl 3.09, 8 P 3.38
P  0.0000  0.5000  0.0000  2 Cr 2.19
P  0.5000  0.0000  0.0000  2 Cr 2.19
Cl  0.0000  0.0000  0.5000  2 Cr 2.58

Results
E_form (uncorrected), kJ/mol of formula units: 15
V, A^3/atom: 19.7
Space group: P4/mmm
Magnetization, μB/cell: 0.6
Distance to the lowest polymorph of the same formula, meV/atom: 0



(5)
The following is a DFT calculation (PBE-GGA) of a relaxed MgCrPCl2 crystal.

Cell: 4.5535 4.5535 5.9840 Å, 90.00 90.00 90.00°
Last column: nearest neighbours and their distance in Å.
Fractional coordinates of all 5 atoms:
Cr  0.5000  0.5000  0.5000  4 P 3.22
Mg  0.0000  0.0000  0.0000  4 Cl 2.28
P  0.0000  0.0000  0.5000  2 Mg 2.99, 4 Cr 3.22
Cl  0.0000  0.5000  0.0000  2 Mg 2.28
Cl  0.5000  0.0000  0.0000  2 Mg 2.28

Results
E_form (uncorrected), kJ/mol of formula units: -27
V, A^3/atom: 24.8
Space group: P4/mmm
Magnetization, μB/cell: 3.0
Distance to the lowest polymorph of the same formula, meV/atom: 246



(6)
The following is a DFT calculation (PBE-GGA) of a relaxed MgCrPbCl6 crystal.

Cell: 6.5096 6.5096 12.6361 Å, 90.00 90.00 120.00°
Last column: nearest neighbours and their distance in Å.
Fractional coordinates of all 18 atoms:
Mg  0.6667  0.3333  0.2500  6 Cl 2.53
Mg  0.3333  0.6667  0.7500  6 Cl 2.53
Cr  0.3333  0.6667  0.2500  6 Cl 2.50
Cr  0.6667  0.3333  0.7500  6 Cl 2.50
Pb  0.0000  0.0000  0.0000  6 Cl 2.94
Pb  0.0000  0.0000  0.5000  6 Cl 2.94
Cl  0.6343  0.6376  0.1382  1 Cr 2.50, 1 Mg 2.53
Cl  0.0034  0.3657  0.1382  1 Cr 2.50, 1 Mg 2.53
Cl  0.3657  0.0034  0.6382  1 Cr 2.50, 1 Mg 2.53
Cl  0.9966  0.6343  0.8618  1 Cr 2.50, 1 Mg 2.53
Cl  0.3624  0.3657  0.3618  1 Cr 2.50, 1 Mg 2.53
Cl  0.0034  0.6376  0.3618  1 Cr 2.50, 1 Mg 2.53
Cl  0.6376  0.0034  0.8618  1 Cr 2.50, 1 Mg 2.53
Cl  0.6343  0.9966  0.3618  1 Cr 2.50, 1 Mg 2.53
Cl  0.9966  0.3624  0.6382  1 Cr 2.50, 1 Mg 2.53
Cl  0.3624  0.9966  0.1382  1 Cr 2.50, 1 Mg 2.53
Cl  0.6376  0.6343  0.6382  1 Cr 2.50, 1 Mg 2.53
Cl  0.3657  0.3624  0.8618  1 Cr 2.50, 1 Mg 2.53

Results
E_form (uncorrected), kJ/mol of formula units: -1118
V, A^3/atom: 25.8
Space group: P-31c
Magnetization, μB/cell: 8.0



(7)
The following is a DFT calculation (PBE-GGA) of a relaxed MgCr2PtCl crystal.

Cell: 4.9086 5.0985 4.9086 Å, 90.00 90.00 90.00°
Last column: nearest neighbours and their distance in Å.
Fractional coordinates of all 5 atoms:
Cr  0.0000  0.0000  0.5000  2 Pt 2.45
Cr  0.5000  0.0000  0.0000  2 Pt 2.45
Mg  0.0000  0.5000  0.0000  2 Pt 2.55
Pt  0.0000  0.0000  0.0000  4 Cr 2.45, 2 Mg 2.55
Cl  0.5000  0.5000  0.5000  4 Mg 3.47, 8 Cr 3.54

Results
E_form (uncorrected), kJ/mol of formula units: 196
V, A^3/atom: 24.6
Space group: P4/mmm
Magnetization, μB/cell: 8.2



(8)
The following is a DFT calculation (PBE-GGA) of a relaxed RbMgCrCl2 crystal.

Cell: 5.2037 5.6810 5.2037 Å, 90.00 90.00 90.00°
Last column: nearest neighbours and their distance in Å.
Fractional coordinates of all 5 atoms:
Cr  0.0000  0.5000  0.0000  2 Mg 2.84
Mg  0.0000  0.0000  0.0000  4 Cl 2.60, 2 Cr 2.84
Rb  0.5000  0.5000  0.5000  4 Cr 3.68, 8 Cl 3.85
Cl  0.0000  0.0000  0.5000  2 Mg 2.60
Cl  0.5000  0.0000  0.0000  2 Mg 2.60

Results
E_form (uncorrected), kJ/mol of formula units: -227
V, A^3/atom: 30.8
Space group: P4/mmm
Magnetization, μB/cell: 5.0



(9)
The following is a DFT calculation (PBE-GGA) of a relaxed MgCrS2Cl crystal.

Cell: 4.6993 4.6993 4.6171 Å, 90.00 90.00 90.00°
Last column: nearest neighbours and their distance in Å.
Fractional coordinates of all 5 atoms:
Cr  0.0000  0.0000  0.0000  2 Cl 2.31, 4 S 2.35
S  0.0000  0.5000  0.0000  2 Cr 2.35
S  0.5000  0.0000  0.0000  2 Cr 2.35
Mg  0.5000  0.5000  0.5000  8 S 3.29, 4 Cl 3.32
Cl  0.0000  0.0000  0.5000  2 Cr 2.31

Results
E_form (uncorrected), kJ/mol of formula units: -205
V, A^3/atom: 20.4
Space group: P4/mmm
Magnetization, μB/cell: 3.0
Distance to the lowest polymorph of the same formula, meV/atom: 0



(10)
The following is a DFT calculation (PBE-GGA) of a relaxed MgCrSCl2 crystal.

Cell: 4.6878 4.9201 4.6878 Å, 90.00 90.00 90.00°
Last column: nearest neighbours and their distance in Å.
Fractional coordinates of all 5 atoms:
Cr  0.0000  0.0000  0.0000  4 Cl 2.34, 2 S 2.46
S  0.0000  0.5000  0.0000  2 Cr 2.46
Mg  0.5000  0.5000  0.5000  4 S 3.31, 8 Cl 3.40
Cl  0.0000  0.0000  0.5000  2 Cr 2.34
Cl  0.5000  0.0000  0.0000  2 Cr 2.34

Results
E_form (uncorrected), kJ/mol of formula units: -294
V, A^3/atom: 21.6
Space group: P4/mmm
Magnetization, μB/cell: 3.8
Distance to the lowest polymorph of the same formula, meV/atom: 0



(11)
The following is a DFT calculation (PBE-GGA) of a relaxed MgCrSCl2 crystal.

Cell: 4.6925 4.6925 5.1512 Å, 90.00 90.00 90.00°
Last column: nearest neighbours and their distance in Å.
Fractional coordinates of all 5 atoms:
Cr  0.5000  0.5000  0.5000  4 S 3.32, 8 Cl 3.48
S  0.0000  0.0000  0.5000  2 Mg 2.58
Mg  0.0000  0.0000  0.0000  4 Cl 2.35, 2 S 2.58
Cl  0.0000  0.5000  0.0000  2 Mg 2.35
Cl  0.5000  0.0000  0.0000  2 Mg 2.35

Results
E_form (uncorrected), kJ/mol of formula units: -228
V, A^3/atom: 22.7
Space group: P4/mmm
Magnetization, μB/cell: 4.0
Distance to the lowest polymorph of the same formula, meV/atom: 138



(12)
The following is a DFT calculation (PBE-GGA) of a relaxed Mg2CrSiCl crystal.

Cell: 5.2381 4.1010 5.2381 Å, 90.00 90.00 90.00°
Last column: nearest neighbours and their distance in Å.
Fractional coordinates of all 5 atoms:
Cr  0.0000  0.0000  0.0000  2 Cl 2.05
Si  0.5000  0.5000  0.5000  8 Mg 3.33, 4 Cl 3.70
Mg  0.0000  0.0000  0.5000  2 Cr 2.62
Mg  0.5000  0.0000  0.0000  2 Cr 2.62
Cl  0.0000  0.5000  0.0000  2 Cr 2.05

Results
E_form (uncorrected), kJ/mol of formula units: 365
V, A^3/atom: 22.5
Space group: P4/mmm
Magnetization, μB/cell: 0.0



Copy entry 5 word for word.
The following is a DFT calculation (PBE-GGA) of a relaxed MgCrPCl2 crystal.

Cell: 4.5535 4.5535 5.9840 Å, 90.00 90.00 90.00°
Last column: nearest neighbours and their distance in Å.
Fractional coordinates of all 5 atoms:
Cr  0.5000  0.5000  0.5000  4 P 3.22
Mg  0.0000  0.0000  0.0000  4 Cl 2.28
P  0.0000  0.0000  0.5000  2 Mg 2.99, 4 Cr 3.22
Cl  0.0000  0.5000  0.0000  2 Mg 2.28
Cl  0.5000  0.0000  0.0000  2 Mg 2.28

Results
E_form (uncorrected), kJ/mol of formula units: -27
V, A^3/atom: 24.8
Space group: P4/mmm
Magnetization, μB/cell: 3.0
Distance to the lowest polymorph of the same formula, meV/atom: 246